1.
Here is a relaxed Pm8GaIr2 crystal from Alexandria. Energies are from GGA-PBE.

## Properties
theoretical density = 8.650 Mg/m³
energy = -5.73 eV per atom
formation enthalpy at 0 K = -0.389 eV per atom
energy relative to the lowest polymorph listed for this composition = 0.000 eV per atom

abc: 17.9843 5.0273 7.1599
angles: 90.00 106.78 90.00
With the nearest neighbours (Å) after each atom.
Space group C2/m (No. 12)
Symmetry-distinct sites (fractional):
Pm (0.0360, 0.0000, 0.2704) [4 per cell]  1 Ir 2.95, 2 Ga 3.17
Pm (0.0938, 0.5000, 0.9581) [4 per cell]  1 Ga 3.23, 2 Ir 3.28, 7 Pm 3.48-3.59
Pm (0.1715, 0.5000, 0.4631) [4 per cell]  3 Ir 2.88-3.19, 1 Ga 3.17
Pm (0.2009, 0.0000, 0.8167) [4 per cell]  1 Ir 2.86
Ga (0.0000, 0.5000, 0.5000) [2 per cell]  8 Pm 3.17-3.23
Ir (0.1911, 0.0000, 0.2078) [4 per cell]  5 Pm 2.86-3.19



2.
Here is a relaxed Pm3Ga3Ir2 crystal from Alexandria. Energies are from GGA-PBE.

## Properties
theoretical density = 9.749 Mg/m³
energy = -5.87 eV per atom
formation enthalpy at 0 K = -0.740 eV per atom
energy relative to the lowest polymorph listed for this composition = 0.000 eV per atom

abc: 4.2771 10.6903 15.3270
angles: 90.00 90.00 90.00
With the nearest neighbours (Å) after each atom.
Space group Cmcm (No. 63)
Symmetry-distinct sites (fractional):
Pm (0.0000, 0.0726, 0.1084) [8 per cell]  3 Ir 3.07-3.12, 7 Ga 3.14-3.33
Pm (0.0000, 0.3498, 0.2500) [4 per cell]  5 Ga 3.07-3.31, 4 Ir 3.12
Ga (0.0000, 0.3556, 0.7500) [4 per cell]  2 Ir 2.64
Ga (0.0000, 0.3589, 0.0342) [8 per cell]  3 Ir 2.55-2.68
Ir (0.0000, 0.2149, 0.6088) [8 per cell]  4 Ga 2.55-2.68



3.
Here is a relaxed PmGa9Ir2 crystal from Alexandria. Energies are from GGA-PBE.

## Properties
theoretical density = 9.165 Mg/m³
energy = -4.47 eV per atom
formation enthalpy at 0 K = -0.325 eV per atom

abc: 10.4490 10.4490 7.6793
angles: 90.00 90.00 90.00
With the nearest neighbours (Å) after each atom.
Space group I4_1/amd (No. 141, origin choice 2)
Symmetry-distinct sites (fractional):
Pm (0.0000, 0.2500, 0.3750) [4 per cell]  16 Ga 3.35-3.44
Ga (0.0000, 0.2500, 0.8750) [4 per cell]  4 Ir 2.78, 8 Ga 2.90
Ga (0.1203, 0.0435, 0.6839) [32 per cell]  4 Ga 2.52-2.79, 2 Ir 2.60-2.77
Ir (0.0000, 0.0000, 0.0000) [8 per cell]  10 Ga 2.60-2.78



4.
Here is a relaxed PmGaIr crystal from Alexandria. Energies are from GGA-PBE.

## Properties
theoretical density = 11.376 Mg/m³
energy = -6.05 eV per atom
formation enthalpy at 0 K = -0.506 eV per atom
energy relative to the lowest polymorph listed for this composition = 0.274 eV per atom

abc: 3.2745 3.2745 11.0800
angles: 90.00 90.00 90.00
With the nearest neighbours (Å) after each atom.
Space group I4mm (No. 107)
Symmetry-distinct sites (fractional):
Pm (0.0000, 0.0000, 0.0000) [2 per cell]  4 Ir 3.07, 5 Ga 3.25-3.26, 4 Pm 3.27
Ga (0.0000, 0.0000, 0.2939) [2 per cell]  4 Ir 2.62
Ir (0.0000, 0.0000, 0.6824) [2 per cell]  4 Ga 2.62



5.
Here is a relaxed PmGa4Ir4 crystal from Alexandria. Energies are from GGA-PBE.

## Properties
theoretical density = 12.709 Mg/m³
energy = -6.29 eV per atom
formation enthalpy at 0 K = -0.483 eV per atom

abc: 5.9660 5.9660 8.7569
angles: 90.00 90.00 90.00
With the nearest neighbours (Å) after each atom.
Space group P4_2/nmc (No. 137, origin choice 2)
Symmetry-distinct sites (fractional):
Pm (0.2500, 0.7500, 0.2500) [2 per cell]  4 Ga 3.16, 8 Ir 3.39
Ga (0.0365, 0.2500, 0.0540) [8 per cell]  5 Ir 2.51-2.59, 1 Ga 2.55
Ir (0.0222, 0.2500, 0.3486) [8 per cell]  5 Ga 2.51-2.59, 1 Ir 2.72



6.
Here is a relaxed PmGaIr crystal from Alexandria. Energies are from GGA-PBE.

## Properties
theoretical density = 11.103 Mg/m³
energy = -6.33 eV per atom
formation enthalpy at 0 K = -0.781 eV per atom
energy relative to the lowest polymorph listed for this composition = 0.000 eV per atom

abc: 7.2818 4.5797 7.3002
angles: 90.00 90.00 90.00
With the nearest neighbours (Å) after each atom.
Space group Pnma (No. 62)
Symmetry-distinct sites (fractional):
Pm (0.0232, 0.2500, 0.1912) [4 per cell]  4 Ir 2.98-3.07, 6 Ga 3.15-3.26
Ga (0.1930, 0.2500, 0.6047) [4 per cell]  4 Ir 2.59-2.63
Ir (0.1612, 0.7500, 0.4309) [4 per cell]  4 Ga 2.59-2.63



Q: Among the records above, which one has the highest theoretical density?
A: PmGa4Ir4



What did the fifth record say?
Here is a relaxed PmGa4Ir4 crystal from Alexandria. Energies are from GGA-PBE.

## Properties
theoretical density = 12.709 Mg/m³
energy = -6.29 eV per atom
formation enthalpy at 0 K = -0.483 eV per atom

abc: 5.9660 5.9660 8.7569
angles: 90.00 90.00 90.00
With the nearest neighbours (Å) after each atom.
Space group P4_2/nmc (No. 137, origin choice 2)
Symmetry-distinct sites (fractional):
Pm (0.2500, 0.7500, 0.2500) [2 per cell]  4 Ga 3.16, 8 Ir 3.39
Ga (0.0365, 0.2500, 0.0540) [8 per cell]  5 Ir 2.51-2.59, 1 Ga 2.55
Ir (0.0222, 0.2500, 0.3486) [8 per cell]  5 Ga 2.51-2.59, 1 Ir 2.72



Repeat the third record exactly.
Here is a relaxed PmGa9Ir2 crystal from Alexandria. Energies are from GGA-PBE.

## Properties
theoretical density = 9.165 Mg/m³
energy = -4.47 eV per atom
formation enthalpy at 0 K = -0.325 eV per atom

abc: 10.4490 10.4490 7.6793
angles: 90.00 90.00 90.00
With the nearest neighbours (Å) after each atom.
Space group I4_1/amd (No. 141, origin choice 2)
Symmetry-distinct sites (fractional):
Pm (0.0000, 0.2500, 0.3750) [4 per cell]  16 Ga 3.35-3.44
Ga (0.0000, 0.2500, 0.8750) [4 per cell]  4 Ir 2.78, 8 Ga 2.90
Ga (0.1203, 0.0435, 0.6839) [32 per cell]  4 Ga 2.52-2.79, 2 Ir 2.60-2.77
Ir (0.0000, 0.0000, 0.0000) [8 per cell]  10 Ga 2.60-2.78



Q: Look up the energy of the second one.
A: -5.87 eV per atom